VASP calculation (PBE) on a relaxed PmPrErTm3 crystal.

Properties
- Formation energy: 0.028 eV per atom
- Uncorrected energy: -4.56 eV/atom
- Total moment: 0.00 Bohr magnetons per cell
- Symmetry: No. 63

The structure in POSCAR format:
```
PmPrErTm3
1.0
2.5174 -7.5356 0.0000
2.5174 7.5356 0.0000
0.0000 0.0000 10.0720
Pm Pr Er Tm
2 2 2 6
direct
0.0000 0.0000 0.2500 Pm
0.0000 0.0000 0.7500 Pm
0.5000 0.5000 0.0000 Pr
0.5000 0.5000 0.5000 Pr
0.3310 0.6690 0.7500 Er
0.6690 0.3310 0.2500 Er
0.1690 0.8310 0.0000 Tm
0.1690 0.8310 0.5000 Tm
0.3312 0.6688 0.2500 Tm
0.6688 0.3312 0.7500 Tm
0.8310 0.1690 0.0000 Tm
0.8310 0.1690 0.5000 Tm
```